Arrangement a

PrY6Tm | Alexandria via LeMat-Bulk | PBE | relaxed; SG = No. 148; magnetization = 0.0 μB/f.u.
1.0
-5.3510 6.1769 -5.1392
-9.4305 -1.6537 -1.2361
-5.5901 3.2283 0.6334
Y Pr Tm
6 1 1
Direct
0.4574 0.7532 0.7453 Y
0.0441 0.4574 0.7453 Y
0.2468 0.9559 0.2547 Y
0.9559 0.5426 0.2547 Y
0.5426 0.2468 0.2547 Y
0.7532 0.0441 0.7453 Y
0.5000 0.5000 0.5000 Pr
0.0000 0.0000 0.0000 Tm

Arrangement b

PrY6Tm | Alexandria via LeMat-Bulk | PBE | relaxed; SG = No. 2; magnetization = 0.0 μB/f.u.
1.0
-4.2478 -5.2692 -0.5831
-1.0332 0.0729 6.5036
-6.9313 1.0531 0.5162
Y Tm Pr
6 1 1
Direct
0.5445 0.7461 0.0042 Y
0.4555 0.2539 0.9958 Y
0.9083 0.2346 0.5128 Y
0.0917 0.7654 0.4872 Y
0.5679 0.7279 0.5279 Y
0.4321 0.2721 0.4721 Y
0.0000 0.5000 0.0000 Tm
0.0000 0.0000 0.0000 Pr

The structure with the most favorable energy is arrangement a; the runner-up is 5.0 kJ/mol of atoms above it.

Arrangement a

Pr2Y3Tm6 | Alexandria via LeMat-Bulk | PBE | relaxed; SG = No. 139; magnetization = 0.0 μB/f.u.
1.0
4.7300 0.0000 0.0000
0.0000 4.7300 0.0000
-2.3650 -2.3650 16.4769
Tm Pr Y
6 2 3
Direct
0.8781 0.3780 0.7561 Tm
0.6922 0.6922 0.3843 Tm
0.3781 0.8780 0.7561 Tm
0.1219 0.6220 0.2439 Tm
0.6219 0.1220 0.2439 Tm
0.3078 0.3078 0.6157 Tm
0.5467 0.5467 0.0934 Pr
0.4533 0.4533 0.9066 Pr
0.0000 0.0000 0.0000 Y
0.7960 0.7960 0.5921 Y
0.2040 0.2040 0.4079 Y

Arrangement b

Pr2Y3Tm6 | Alexandria via LeMat-Bulk | PBE | relaxed; SG = No. 12; magnetization = 0.0 μB/f.u.
1.0
-5.3063 1.4109 -2.6326
-1.0674 -1.6422 -5.7707
-6.2340 -9.4720 2.7730
Y Tm Pr
3 6 2
Direct
0.6650 0.6701 0.0000 Y
0.0000 0.0000 0.0000 Y
0.3350 0.3299 0.0000 Y
0.2507 0.0000 0.2473 Tm
0.5841 0.3335 0.2471 Tm
0.9176 0.6665 0.2471 Tm
0.0824 0.3335 0.7529 Tm
0.4159 0.6665 0.7529 Tm
0.7493 0.0000 0.7527 Tm
0.8333 0.3334 0.5000 Pr
0.1667 0.6666 0.5000 Pr

The structure with the most favorable energy is arrangement b; the runner-up is 6.5 kJ/mol of atoms above it.